No. 1
First-principles (meta-GGA SCAN) data for a crystal of ScFe2TcGe relaxed with PBEsol, as listed in Alexandria.

## Properties
SG   P4/mmm (123)

a b c (Å): 4.290 4.290 4.555
angles (deg): 90.00 90.00 90.00
Fractional positions:
1 Sc 0.000 0.000 0.000
2 Fe 0.000 0.500 0.500
3 Fe 0.500 0.000 0.500
4 Tc 0.500 0.500 0.000
5 Ge 0.500 0.500 0.500

---

No. 2
First-principles (meta-GGA SCAN) data for a crystal of RbZnCl3 relaxed with PBEsol, as listed in Alexandria.

## Properties
Formation energy (no corrections)   -1.684 eV per atom
SG   P2_1 (4)

a b c (Å): 6.934 5.827 8.500
angles (deg): 90.00 111.83 90.00
Fractional positions:
1 Rb 0.043 0.000 0.253
2 Rb 0.957 0.500 0.747
3 Zn 0.485 0.082 0.858
4 Zn 0.515 0.582 0.142
5 Cl 0.179 0.995 0.664
6 Cl 0.216 0.499 0.168
7 Cl 0.492 0.484 0.873
8 Cl 0.508 0.984 0.127
9 Cl 0.784 0.999 0.832
10 Cl 0.821 0.495 0.336

---

No. 3
First-principles (meta-GGA SCAN) data for a crystal of KTePS2 relaxed with PBEsol, as listed in Alexandria.

## Properties
Formation energy (no corrections)   0.088 eV per atom
SG   P4/mmm (123)

a b c (Å): 5.147 5.147 5.157
angles (deg): 90.00 90.00 90.00
Fractional positions:
1 K 0.000 0.000 0.000
2 Te 0.500 0.500 0.500
3 P 0.500 0.500 0.000
4 S 0.000 0.500 0.500
5 S 0.500 0.000 0.500

---

no.,raw total energy (eV per atom),total magnetization (μB per formula unit),N(E_F) (states/eV/atom)
1,-20.46,4.1,0.70
2,-13.32,0.0,0.00
3,-14.96,1.8,0.33